No. 1
# KHgF

An optimized crystal structure of KHgF (GGA-PBE, the Alexandria database).

E, eV/atom: -2.74
Formation energy without anion corrections, eV per atom: -1.6449
Excess energy over the best structure of this formula in the dataset, eV per atom: 0.114

Unit cell a=4.2397 b=4.2397 c=6.2632 alpha=90.00 beta=90.00 gamma=120.00
Space group P3m1 (No. 156)
One atom of each set of equivalent atoms:
K: 0.0000 0.0000 0.0000 (multiplicity 1)
Hg: 0.3333 0.6667 0.4895 (multiplicity 1)
F: 0.6667 0.3333 0.0798 (multiplicity 1)

No. 2
# K3HgF8

An optimized crystal structure of K3HgF8 (GGA-PBE, the Alexandria database).

E, eV/atom: -3.29
Formation energy without anion corrections, eV per atom: -1.7382

Unit cell a=6.048 b=6.048 c=11.728 alpha=90.00 beta=90.00 gamma=90.00
Space group I4/mmm (No. 139)
One atom of each set of equivalent atoms:
K: 0.000 0.000 0.000 (multiplicity 2)
K: 0.000 0.500 0.250 (multiplicity 4)
Hg: 0.000 0.000 0.500 (multiplicity 2)
F: 0.216 0.216 0.389 (multiplicity 16)